[1]
The following is a SCAN calculation of a PBEsol-optimized structure of LiAg2F4, from Alexandria.

Summary:
energy relative to the elements, uncorrected = -1.715 eV per atom

Lattice parameters (Å, degrees): 9.586 7.204 5.450 90.00 90.00 90.00
Space group Pnma (No. 62)
One atom of each set of equivalent atoms:
Li1 0.177 0.250 0.027 [4 per cell]
Ag1 0.000 0.000 0.500 [4 per cell]
Ag2 0.161 0.750 0.025 [4 per cell]
F1 0.118 0.250 0.707 [4 per cell]
F2 0.121 0.034 0.188 [8 per cell]
F3 0.131 0.750 0.607 [4 per cell]

---

[2]
The following is a SCAN calculation of a PBEsol-optimized structure of TeSe2, from Alexandria.

Summary:
energy relative to the elements, uncorrected = -0.029 eV per atom

Lattice parameters (Å, degrees): 3.9347 3.9347 5.8342 90.00 90.00 120.00
Space group P-3m1 (No. 164)
One atom of each set of equivalent atoms:
Te1 0.0000 0.0000 0.0000 [1 per cell]
Se1 0.3333 0.6667 0.7127 [2 per cell]

---

[3]
The following is a SCAN calculation of a PBEsol-optimized structure of ZrCrNi3, from Alexandria.

Summary:
formation energy from the elements = 28.06 kcal/mol of atoms

Lattice parameters (Å, degrees): 4.453 4.453 4.453 90.00 90.00 90.00
Space group Pm-3m (No. 221)
One atom of each set of equivalent atoms:
Zr1 0.000 0.000 0.000 [1 per cell]
Cr1 0.500 0.500 0.500 [1 per cell]
Ni1 0.000 0.000 0.500 [3 per cell]

---

[4]
The following is a SCAN calculation of a PBEsol-optimized structure of SiRh2Se, from Alexandria.

Summary:
energy relative to the elements, uncorrected = -0.038 eV per atom

Lattice parameters (Å, degrees): 2.827 5.060 8.254 90.00 90.00 90.00
Space group Immm (No. 71)
One atom of each set of equivalent atoms:
Si1 0.000 0.000 0.000 [2 per cell]
Rh1 0.000 0.500 0.269 [4 per cell]
Se1 0.000 0.000 0.500 [2 per cell]

---

[5]
The following is a SCAN calculation of a PBEsol-optimized structure of Ag2WAu, from Alexandria.

Summary:
formation energy from the elements = 16.33 kcal/mol of atoms

Lattice parameters (Å, degrees): 4.947 4.947 2.716 90.00 90.00 90.00
Space group P4/mmm (No. 123)
One atom of each set of equivalent atoms:
Ag1 0.000 0.500 0.000 [2 per cell]
W1 0.000 0.000 0.500 [1 per cell]
Au1 0.500 0.500 0.500 [1 per cell]

---

[6]
The following is a SCAN calculation of a PBEsol-optimized structure of Dy2C3, from Alexandria.

Summary:
formation energy from the elements = -8.81 kcal/mol of atoms

Lattice parameters (Å, degrees): 8.125 8.125 8.125 90.00 90.00 90.00
Space group I-43d (No. 220)
One atom of each set of equivalent atoms:
Dy1 0.050 0.050 0.050 [16 per cell]
C1 0.000 0.250 0.292 [24 per cell]